The following is a PBE-GGA calculation of a geometry-optimized GeIr2Ru structure, from Alexandria. Values from VASP.

The structure in Quantum ESPRESSO input format:
```
&SYSTEM
  ibrav = 0, nat = 8, ntyp = 3
/
ATOMIC_SPECIES
Ge 72.64 Ge.upf
Ir 192.22 Ir.upf
Ru 101.07 Ru.upf
CELL_PARAMETERS angstrom
-2.777 2.777 5.618
2.777 -2.777 5.618
2.777 2.777 -5.618
ATOMIC_POSITIONS angstrom
Ge 0.000 0.000 0.000
Ge 0.000 2.777 2.809
Ir 1.388 -1.356 4.214
Ir 1.421 1.388 1.405
Ir 1.388 4.132 -1.405
Ir 1.356 1.388 7.023
Ru 2.777 0.000 2.809
Ru 0.000 0.000 5.618
```

**Crystal system**: tetragonal
**Formation energy from the elements**: 686 meV/atom
**Size of the total moment**: 0.00 μB/f.u.